(1)
Compound: La2Ga4Cu3Pd
Source: the Alexandria database
Functional: GGA-PBE
Structure: relaxed

```
La2Ga4Cu3Pd
1.0
-3.384 1.118 -2.469
-0.171 -4.030 -1.590
-6.322 -2.672 7.456
La Ga Cu Pd
2 4 3 1
Direct
0.500 0.000 0.249
0.000 0.500 0.751
0.500 0.500 0.000
0.000 0.000 0.000
0.500 0.000 0.629
0.000 0.500 0.371
0.000 0.000 0.500
0.500 0.000 0.871
0.000 0.500 0.129
0.500 0.500 0.500
```

Summary:
- Density: 7.44 Mg/m³
- Raw total energy: -0.32926 Ry/atom
- Total magnetic moment: 0.000 μB/f.u.
- Space group: P-4m2 (115)

(2)
Compound: NpCuSn2S5
Source: the Alexandria database
Functional: GGA-PBE
Structure: relaxed

```
NpCuSn2S5
1.0
3.939 0.000 0.000
-1.970 9.477 0.000
0.000 0.000 12.085
Np Cu Sn S
2 2 4 10
Direct
0.799 0.599 0.529
0.201 0.401 0.029
0.576 0.151 0.946
0.424 0.849 0.446
0.926 0.853 0.779
0.145 0.289 0.666
0.074 0.147 0.279
0.855 0.711 0.166
0.340 0.680 0.016
0.692 0.383 0.887
0.517 0.035 0.779
0.286 0.573 0.676
0.936 0.872 0.547
0.660 0.320 0.516
0.308 0.617 0.387
0.483 0.965 0.279
0.714 0.427 0.176
0.064 0.128 0.047
```

Summary:
- Density: 5.14 Mg/m³
- Raw total energy: -0.42207 Ry/atom
- Formation energy from raw total energies: -0.667 eV/atom
- Total magnetic moment: 2.036 μB/f.u.
- Space group: Cmc2_1 (36)

(3)
Compound: Rb3Pu3BiS8
Source: the Alexandria database
Functional: GGA-PBE
Structure: relaxed

```
Rb3Pu3BiS8
1.0
-7.731 2.191 -1.676
1.483 -6.722 4.473
1.394 8.000 4.029
Rb Pu Bi S
3 3 1 8
Direct
0.000 0.000 0.000
0.000 0.500 0.000
0.500 0.500 0.000
0.500 0.000 0.500
0.500 0.500 0.500
0.000 0.500 0.500
0.000 0.000 0.500
0.271 0.542 0.313
0.729 0.458 0.687
0.765 0.531 0.311
0.235 0.469 0.689
0.765 0.046 0.311
0.235 0.954 0.689
0.280 0.046 0.311
0.720 0.954 0.689
```

Summary:
- Density: 5.35 Mg/m³
- Raw total energy: -0.50505 Ry/atom
- Formation energy from raw total energies: -1.352 eV/atom
- Total magnetic moment: 14.000 μB/f.u.
- Space group: R-3m (166)

(4)
Compound: CePrI
Source: the Alexandria database
Functional: GGA-PBE
Structure: relaxed

```
CePrI
1.0
3.758 0.000 0.000
0.000 5.563 0.000
0.000 -2.781 4.818
Pr I Ce
1 1 1
Direct
0.665 0.667 0.333
0.169 0.333 0.667
0.166 0.000 0.000
```

Summary:
- Density: 6.73 Mg/m³
- Relative energy among the computed polymorphs: 0.4134 eV per atom
- Raw total energy: -0.30958 Ry/atom
- Formation energy from raw total energies: -0.124 eV/atom
- Total magnetic moment: 2.137 μB/f.u.
- Space group: P3m1 (156)

(5)
Compound: SrIn6Pd6
Source: the Alexandria database
Functional: GGA-PBE
Structure: relaxed

```
SrIn6Pd6
1.0
-3.910 3.788 -1.557
-6.833 -2.150 1.632
-1.790 4.615 5.429
Sr In Pd
1 6 6
Direct
0.000 0.000 0.000
0.343 0.657 0.657
0.657 0.343 0.343
0.000 0.340 0.660
0.000 0.660 0.340
0.319 0.181 0.181
0.681 0.819 0.819
0.000 0.500 0.000
0.500 0.500 0.000
0.000 0.000 0.500
0.500 0.000 0.500
0.500 0.762 0.238
0.500 0.238 0.762
```

Summary:
- Density: 9.05 Mg/m³
- Raw total energy: -0.31697 Ry/atom
- Total magnetic moment: 0.000 μB/f.u.
- Space group: Immm (71)

(6)
Compound: Ce2MgRh
Source: the Alexandria database
Functional: GGA-PBE
Structure: relaxed

```
Ce2MgRh
1.0
-0.718 1.713 5.527
0.252 -5.324 1.682
11.809 0.982 1.231
Ce Mg Rh
8 4 4
Direct
0.857 0.922 0.908
0.143 0.078 0.092
0.357 0.578 0.592
0.643 0.422 0.408
0.744 0.392 0.088
0.256 0.608 0.912
0.244 0.108 0.412
0.756 0.892 0.588
0.254 0.584 0.218
0.746 0.416 0.782
0.754 0.916 0.282
0.246 0.084 0.718
0.942 0.329 0.589
0.058 0.671 0.411
0.442 0.171 0.911
0.558 0.829 0.089
```

Summary:
- Density: 6.97 Mg/m³
- Relative energy among the computed polymorphs: 0.0407 eV per atom
- Raw total energy: -0.40393 Ry/atom
- Total magnetic moment: 1.006 μB/f.u.
- Space group: P2_1/c (14)

(7)
Compound: Mg2IrF
Source: the Alexandria database
Functional: GGA-PBE
Structure: relaxed

```
Mg2IrF
1.0
-3.537 -0.816 -2.571
-3.821 2.159 0.724
-1.401 3.072 -2.895
Mg Ir F
2 1 1
Direct
0.250 0.250 0.250
0.750 0.750 0.750
0.500 0.500 0.500
0.000 0.000 0.000
```

Summary:
- Density: 6.93 Mg/m³
- Relative energy among the computed polymorphs: 0.3835 eV per atom
- Raw total energy: -0.29981 Ry/atom
- Formation energy from raw total energies: -0.599 eV/atom
- Total magnetic moment: 0.000 μB/f.u.
- Space group: Fm-3m (225)

(8)
Compound: TcRuSeBr2
Source: the Alexandria database
Functional: GGA-PBE
Structure: relaxed

```
TcRuSeBr2
1.0
-0.898 0.473 -5.017
3.777 -3.311 -0.988
-3.108 -3.609 0.216
Ru Se Tc Br
1 1 1 2
Direct
0.000 0.000 0.000
0.000 0.000 0.500
0.500 0.500 0.500
0.000 0.500 0.000
0.500 0.000 0.000
```

Summary:
- Density: 5.82 Mg/m³
- Relative energy among the computed polymorphs: 0.0000 eV per atom
- Raw total energy: -0.32278 Ry/atom
- Formation energy from raw total energies: 0.903 eV/atom
- Total magnetic moment: 4.558 μB/f.u.
- Space group: P4/mmm (123)

(9)
Compound: Pm3PSe2
Source: the Alexandria database
Functional: GGA-PBE
Structure: relaxed

```
Pm3PSe2
1.0
-0.596 2.744 3.048
-5.687 0.385 -1.458
1.795 -6.301 3.205
Pm P Se
3 1 2
Direct
0.847 0.347 0.193
0.153 0.653 0.807
0.500 0.000 0.500
0.500 0.500 0.500
0.830 0.830 0.161
0.170 0.170 0.839
```

Summary:
- Density: 6.70 Mg/m³
- Raw total energy: -0.45974 Ry/atom
- Formation energy from raw total energies: -1.817 eV/atom
- Total magnetic moment: 0.000 μB/f.u.
- Space group: Immm (71)

(10)
Compound: Pm3Ga2Si2
Source: the Alexandria database
Functional: GGA-PBE
Structure: relaxed

```
Pm3Ga2Si2
1.0
-3.522 -1.142 -1.605
1.934 -3.491 -1.759
-1.090 -2.559 9.284
Pm Ga Si
3 2 2
Direct
0.000 0.000 0.000
0.686 0.186 0.372
0.314 0.814 0.628
0.567 0.567 0.133
0.433 0.433 0.867
0.145 0.645 0.289
0.855 0.355 0.711
```

Summary:
- Density: 6.45 Mg/m³
- Relative energy among the computed polymorphs: 0.0000 eV per atom
- Raw total energy: -0.38091 Ry/atom
- Formation energy from raw total energies: -0.732 eV/atom
- Total magnetic moment: 0.529 μB/f.u.
- Space group: Immm (71)

(11)
Compound: AcPmGaIr
Source: the Alexandria database
Functional: GGA-PBE
Structure: relaxed

```
AcPmGaIr
1.0
-1.115 -4.249 -0.731
1.511 -1.088 4.021
-4.318 3.045 2.446
Ac Pm Ga Ir
1 1 1 1
Direct
0.148 0.000 0.295
0.863 0.500 0.726
0.559 0.500 0.118
0.430 0.000 0.860
```

Summary:
- Density: 9.92 Mg/m³
- Relative energy among the computed polymorphs: 0.0000 eV per atom
- Raw total energy: -0.42461 Ry/atom
- Total magnetic moment: 0.000 μB/f.u.
- Space group: Amm2 (38)

(12)
Compound: CaGa2Ag2
Source: the Alexandria database
Functional: GGA-PBE
Structure: relaxed

```
CaGa2Ag2
1.0
-6.189 -3.301 3.516
2.073 -6.986 -2.910
1.859 -0.583 2.725
Ca Ga Ag
2 4 4
Direct
0.000 0.000 0.000
0.500 0.500 0.000
0.379 0.879 0.000
0.879 0.621 0.000
0.621 0.121 0.000
0.121 0.379 0.000
0.179 0.679 0.500
0.679 0.821 0.500
0.821 0.321 0.500
0.321 0.179 0.500
```

Summary:
- Density: 6.36 Mg/m³
- Raw total energy: -0.21247 Ry/atom
- Total magnetic moment: 0.000 μB/f.u.
- Space group: P4/mbm (127)

(13)
Compound: Ba2PuAg3Sb4
Source: the Alexandria database
Functional: GGA-PBE
Structure: relaxed

```
Ba2PuAg3Sb4
1.0
-3.559 -1.132 -3.320
1.489 -4.771 0.030
-7.655 -2.332 9.001
Ba Pu Ag Sb
2 1 3 4
Direct
0.500 0.000 0.228
0.000 0.500 0.772
0.500 0.500 0.500
0.000 0.000 0.500
0.500 0.000 0.880
0.000 0.500 0.120
0.500 0.500 0.000
0.000 0.000 0.000
0.500 0.000 0.647
0.000 0.500 0.353
```

Summary:
- Density: 7.34 Mg/m³
- Raw total energy: -0.35600 Ry/atom
- Formation energy from raw total energies: -0.522 eV/atom
- Total magnetic moment: 5.691 μB/f.u.
- Space group: P-4m2 (115)

(14)
Compound: SmDy2Al2
Source: the Alexandria database
Functional: GGA-PBE
Structure: relaxed

```
SmDy2Al2
1.0
-2.425 -2.789 -0.064
0.530 -0.333 -5.585
9.765 -8.560 2.944
Sm Dy Al
2 4 4
Direct
0.250 0.681 0.234
0.750 0.319 0.766
0.250 0.848 0.889
0.750 0.152 0.111
0.250 0.260 0.538
0.750 0.740 0.462
0.250 0.794 0.658
0.750 0.206 0.342
0.250 0.354 0.960
0.750 0.646 0.040
```

Summary:
- Density: 6.39 Mg/m³
- Relative energy among the computed polymorphs: 0.1597 eV per atom
- Raw total energy: -0.32527 Ry/atom
- Total magnetic moment: 0.000 μB/f.u.
- Space group: P2_1/m (11)

(15)
Compound: Pr4TlZn
Source: the Alexandria database
Functional: GGA-PBE
Structure: relaxed

```
Pr4TlZn
1.0
-2.263 2.765 1.421
-6.979 -3.734 -3.849
-0.993 -3.248 4.738
Pr Tl Zn
4 1 1
Direct
0.500 0.725 0.994
0.500 0.275 0.006
0.000 0.200 0.507
0.000 0.800 0.493
0.500 0.500 0.500
0.000 0.000 0.000
```

Summary:
- Density: 7.01 Mg/m³
- Raw total energy: -0.27972 Ry/atom
- Total magnetic moment: 0.000 μB/f.u.
- Space group: P2/m (10)

(16)
Compound: Pm7Pr2Y3
Source: the Alexandria database
Functional: GGA-PBE
Structure: relaxed

```
Pm7Pr2Y3
1.0
-2.211 0.179 2.907
-2.075 -5.285 -1.251
16.653 -4.103 10.614
Pm Pr Y
7 2 3
Direct
0.271 0.283 0.542
0.729 0.717 0.458
0.411 0.997 0.823
0.000 0.000 0.000
0.589 0.003 0.177
0.071 0.470 0.140
0.929 0.530 0.860
0.354 0.417 0.710
0.646 0.583 0.290
0.500 0.500 0.000
0.820 0.860 0.641
0.180 0.140 0.359
```

Summary:
- Density: 6.24 Mg/m³
- Relative energy among the computed polymorphs: 0.0168 eV per atom
- Raw total energy: -0.37383 Ry/atom
- Total magnetic moment: 0.000 μB/f.u.
- Space group: P-1 (2)

(17)
Compound: AlZn2Cu
Source: the Alexandria database
Functional: GGA-PBE
Structure: relaxed

```
AlZn2Cu
1.0
6.110 0.508 -0.035
3.689 4.898 0.035
-4.328 -3.739 2.210
Zn Al Cu
2 1 1
Direct
0.052 0.052 0.000
0.738 0.238 0.500
0.453 0.453 0.000
0.257 0.757 0.500
```

Summary:
- Density: 5.89 Mg/m³
- Raw total energy: -0.19241 Ry/atom
- Total magnetic moment: 0.000 μB/f.u.
- Space group: Imm2 (44)

(18)
Compound: SrAs2Se
Source: the Alexandria database
Functional: GGA-PBE
Structure: relaxed

```
SrAs2Se
1.0
-5.054 -1.402 -2.164
-2.624 -3.251 3.839
2.154 5.224 -0.512
Sr As Se
1 2 1
Direct
0.241 0.741 0.500
0.956 0.956 0.000
0.771 0.271 0.500
0.532 0.532 0.000
```

Summary:
- Density: 5.38 Mg/m³
- Raw total energy: -0.30650 Ry/atom
- Formation energy from raw total energies: -0.554 eV/atom
- Total magnetic moment: 0.000 μB/f.u.
- Space group: Imm2 (44)

(19)
Compound: BaTe2SI
Source: the Alexandria database
Functional: GGA-PBE
Structure: relaxed

```
BaTe2SI
1.0
-1.337 -6.713 -1.161
4.338 -1.751 5.130
-5.041 0.251 4.348
I S Te Ba
1 1 2 1
Direct
0.000 0.000 0.500
0.500 0.500 0.500
0.000 0.500 0.000
0.500 0.000 0.000
0.000 0.000 0.000
```

Summary:
- Density: 2.85 Mg/m³
- Relative energy among the computed polymorphs: 0.9559 eV per atom
- Raw total energy: -0.17725 Ry/atom
- Formation energy from raw total energies: 0.365 eV/atom
- Total magnetic moment: 5.002 μB/f.u.
- Space group: P4/mmm (123)

(20)
Compound: CaFeMo2
Source: the Alexandria database
Functional: GGA-PBE
Structure: relaxed

```
CaFeMo2
1.0
-2.801 -1.866 3.469
-1.369 -3.529 -3.005
2.179 -1.607 0.895
Mo Ca Fe
2 1 1
Direct
0.000 0.000 0.000
0.500 0.500 0.000
0.500 0.000 0.500
0.000 0.500 0.500
```

Summary:
- Density: 7.17 Mg/m³
- Relative energy among the computed polymorphs: 0.5059 eV per atom
- Raw total energy: -0.51498 Ry/atom
- Total magnetic moment: 1.631 μB/f.u.
- Space group: P4/mmm (123)